VASP calculation (GGA-PBE) on crystalline CePuCdPt at its relaxed geometry.

Symmetry ... F-43m (216)
VASP energy ... -7.19 eV per atom
ρ ... 11756 kg/m³
Energy of formation from the pure elements ... -0.3880 eV per atom

extended XYZ file:
```
4
Lattice="-0.2046 3.9436 3.3364 -3.3319 -0.1267 3.9506 1.7396 -0.6077 4.8300" Properties=species:S:1:pos:R:3 pbc="T T T"
Pu 0.0000 0.0000 0.0000
Cd -0.4492 0.8023 3.0292
Pt -1.3476 2.4068 9.0877
Ce -0.8984 1.6046 6.0585
```